[1]
AgPAuF2 (PBE, optimized geometry); calculated total energy = -3.766 eV/atom; SG = P4/mmm; density = 7743 kg/m3
1.0
3.987 0.000 0.000
0.000 3.987 0.000
0.000 0.000 5.043
Ag P Au F
1 1 1 2
direct
0.000 0.000 0.000
0.500 0.500 0.500
0.500 0.500 0.000
0.000 0.500 0.500
0.500 0.000 0.500

[2]
AgPdAuF6 (PBE, optimized geometry); calculated total energy = -3.595 eV/atom; SG = P4_2nm; density = 6164 kg/m3
1.0
5.160 0.000 0.000
0.000 5.160 0.000
0.000 0.000 10.629
Ag Pd Au F
2 2 2 12
direct
0.000 0.000 0.000
0.500 0.500 0.500
0.000 0.000 0.664
0.500 0.500 0.164
0.000 0.000 0.327
0.500 0.500 0.827
0.182 0.182 0.520
0.189 0.189 0.805
0.225 0.225 0.166
0.275 0.725 0.666
0.311 0.689 0.305
0.318 0.682 0.020
0.682 0.318 0.020
0.689 0.311 0.305
0.725 0.275 0.666
0.775 0.775 0.166
0.811 0.811 0.805
0.818 0.818 0.520

[3]
AgPdAu2F8 (PBE, optimized geometry); calculated total energy = -3.312 eV/atom; SG = I-4m2; density = 6724 kg/m3
1.0
-3.382 3.382 4.103
3.382 -3.382 4.103
3.382 3.382 -4.103
Ag Pd Au F
1 1 2 8
direct
0.000 0.000 0.000
0.750 0.250 0.500
0.250 0.750 0.500
0.500 0.500 0.000
0.036 0.345 0.309
0.036 0.727 0.691
0.073 0.277 0.796
0.273 0.964 0.309
0.481 0.277 0.204
0.655 0.964 0.691
0.723 0.519 0.796
0.723 0.927 0.204

- What is the calculated total energy in the first record?
  -3.766 eV/atom

- What is the formula in the first record?
  AgPAuF2

- The lowest calculated total energy belongs to which entry?
  AgPAuF2

- The highest density belongs to which entry?
  AgPAuF2